Below is RuSeO3 at its PBEsol-relaxed geometry, with properties calculated at the SCAN level.

a b c (Å): 3.8374 3.8374 3.8374
angles (deg): 90.00 90.00 90.00
Last column: nearest neighbours and their distance in Å.
Element x y z (fractional)
O (0.0000, 0.5000, 0.0000)  2 Ru 1.92
O (0.5000, 0.0000, 0.0000)  2 Ru 1.92
O (0.0000, 0.0000, 0.5000)  2 Ru 1.92
Se (0.5000, 0.5000, 0.5000)  12 O 2.71
Ru (0.0000, 0.0000, 0.0000)  6 O 1.92

Calculated values
Its raw total energy is -14.920 eV/atom. The space group is Pm-3m, No. 221. For the energy relative to the elements, uncorrected, the calculation gives -0.200 eV/atom.